(1)
## ZrBeTc2 (PBE-GGA)

Data for crystalline ZrBeTc2 at its relaxed geometry.

Values from the calculation:
The space-group type is P4mm, No. 99. Its formation energy is -0.412 eV/f.u. Its density of states at the Fermi level is 3.9 states/eV/cell.

Unit cell a=3.053 b=3.053 c=6.485 alpha=90.00 beta=90.00 gamma=90.00
Fractional coordinates of all 4 atoms:
Be 0.500 0.500 0.801
Tc 0.000 0.000 0.978
Tc 0.500 0.500 0.203
Zr 0.000 0.000 0.518

---

(2)
## ZrBe2Tc (PBE-GGA)

Data for crystalline ZrBe2Tc at its relaxed geometry.

Values from the calculation:
The space-group type is I-42d, No. 122. The offset from the most stable computed form comes out at 618 meV per atom. Its formation energy is 1.460 eV/f.u. Its density of states at the Fermi level is 6.4 states/eV/cell.

Unit cell a=3.941 b=3.941 c=8.628 alpha=76.80 beta=76.80 gamma=90.00
Fractional coordinates of all 8 atoms:
Be 0.832 0.125 0.250
Be 0.918 0.625 0.250
Be 0.375 0.168 0.750
Be 0.875 0.082 0.750
Tc 0.000 0.000 0.000
Tc 0.750 0.250 0.500
Zr 0.500 0.500 0.000
Zr 0.250 0.750 0.500

---

(3)
## ZrBe2Tc (PBE-GGA)

Data for crystalline ZrBe2Tc at its relaxed geometry.

Values from the calculation:
The space-group type is Cmm2, No. 35. The offset from the most stable computed form comes out at 377 meV per atom. Its formation energy is 0.493 eV/f.u. Its density of states at the Fermi level is 3.7 states/eV/cell.

Unit cell a=2.821 b=2.821 c=6.866 alpha=90.00 beta=90.00 gamma=98.35
Fractional coordinates of all 4 atoms:
Be 0.000 0.000 0.066
Be 0.500 0.500 0.222
Tc 0.000 0.000 0.440
Zr 0.500 0.500 0.772

---

(4)
## ZrBe4Tc (PBE-GGA)

Data for crystalline ZrBe4Tc at its relaxed geometry.

Values from the calculation:
The space-group type is F-43m, No. 216. Its formation energy is -1.931 eV/f.u. Its density of states at the Fermi level is 3.7 states/eV/cell.

Unit cell a=4.592 b=4.592 c=4.592 alpha=60.00 beta=60.00 gamma=60.00
Fractional coordinates of all 6 atoms:
Be 0.132 0.623 0.623
Be 0.623 0.623 0.623
Be 0.623 0.132 0.623
Be 0.623 0.623 0.132
Tc 0.250 0.250 0.250
Zr 0.000 0.000 0.000

---

(5)
## ZrBeTc2 (PBE-GGA)

Data for crystalline ZrBeTc2 at its relaxed geometry.

Values from the calculation:
The space-group type is I4/mmm, No. 139. Its formation energy is 0.545 eV/f.u. Its density of states at the Fermi level is 5.5 states/eV/cell.

Unit cell a=5.114 b=5.114 c=5.114 alpha=137.03 beta=137.03 gamma=62.39
Fractional coordinates of all 4 atoms:
Be 0.750 0.250 0.500
Tc 0.000 0.000 0.000
Tc 0.500 0.500 0.000
Zr 0.250 0.750 0.500

---

(6)
## ZrBe2Tc (PBE-GGA)

Data for crystalline ZrBe2Tc at its relaxed geometry.

Values from the calculation:
The space-group type is Amm2, No. 38. The offset from the most stable computed form comes out at 0 meV per atom. Its formation energy is -1.014 eV/f.u. Its density of states at the Fermi level is 2.9 states/eV/cell.

Unit cell a=3.417 b=3.290 c=4.962 alpha=70.69 beta=90.00 gamma=90.00
Fractional coordinates of all 4 atoms:
Be 0.000 0.175 0.025
Be 0.500 0.055 0.264
Tc 0.000 0.483 0.411
Zr 0.500 0.787 0.800

---

(7)
## BeTe (PBE-GGA)

Data for crystalline BeTe at its relaxed geometry.

Values from the calculation:
The calculation puts the energy relative to the elements, uncorrected at -11 kJ/mol of atoms. The space-group type is R-3m, No. 166. The offset from the most stable computed form comes out at 248 meV per atom. Its density of states at the Fermi level is 0.0 states/eV/cell.

Unit cell a=10.340 b=10.340 c=10.340 alpha=22.48 beta=22.48 gamma=22.48
Fractional coordinates of all 4 atoms:
Be 0.420 0.420 0.420
Be 0.580 0.580 0.580
Te 0.088 0.088 0.088
Te 0.912 0.912 0.912

---

(8)
## BeTe (PBE-GGA)

Data for crystalline BeTe at its relaxed geometry.

Values from the calculation:
The calculation puts the energy relative to the elements, uncorrected at -14 kJ/mol of atoms. The space-group type is Pnma, No. 62. The offset from the most stable computed form comes out at 216 meV per atom. Its density of states at the Fermi level is 0.0 states/eV/cell.

Unit cell a=3.956 b=6.143 c=9.947 alpha=90.00 beta=90.00 gamma=90.00
Fractional coordinates of all 8 atoms:
Be 0.750 0.948 0.275
Be 0.250 0.448 0.225
Be 0.750 0.552 0.775
Be 0.250 0.052 0.725
Te 0.750 0.274 0.149
Te 0.250 0.774 0.351
Te 0.750 0.226 0.649
Te 0.250 0.726 0.851

---

(9)
## BeTe (PBE-GGA)

Data for crystalline BeTe at its relaxed geometry.

Values from the calculation:
The calculation puts the energy relative to the elements, uncorrected at -16 kJ/mol of atoms. The space-group type is I-43m, No. 217. The offset from the most stable computed form comes out at 197 meV per atom. Its density of states at the Fermi level is 0.0 states/eV/cell.

Unit cell a=7.727 b=7.727 c=7.727 alpha=90.00 beta=90.00 gamma=90.00
Fractional coordinates of all 16 atoms:
Be 0.149 0.149 0.149
Be 0.149 0.851 0.851
Be 0.851 0.149 0.851
Be 0.851 0.851 0.149
Be 0.649 0.649 0.649
Be 0.649 0.351 0.351
Be 0.351 0.649 0.351
Be 0.351 0.351 0.649
Te 0.329 0.329 0.329
Te 0.329 0.671 0.671
Te 0.671 0.329 0.671
Te 0.671 0.671 0.329
Te 0.829 0.829 0.829
Te 0.829 0.171 0.171
Te 0.171 0.829 0.171
Te 0.171 0.171 0.829

---

(10)
## BeTe (PBE-GGA)

Data for crystalline BeTe at its relaxed geometry.

Values from the calculation:
The calculation puts the energy relative to the elements, uncorrected at -26 kJ/mol of atoms. The space-group type is P4/nmm, No. 129. The offset from the most stable computed form comes out at 96 meV per atom. Its density of states at the Fermi level is 0.0 states/eV/cell.

Unit cell a=3.914 b=3.913 c=7.319 alpha=90.00 beta=90.00 gamma=90.00
Fractional coordinates of all 4 atoms:
Be 0.000 0.000 0.917
Be 0.500 0.500 0.917
Te 0.500 0.000 0.707
Te 0.000 0.500 0.126

---

(11)
## BeTe (PBE-GGA)

Data for crystalline BeTe at its relaxed geometry.

Values from the calculation:
The calculation puts the energy relative to the elements, uncorrected at 39 kJ/mol of atoms. The space-group type is P4/mmm, No. 123. The offset from the most stable computed form comes out at 769 meV per atom. Its density of states at the Fermi level is 1.1 states/eV/cell.

Unit cell a=3.577 b=3.577 c=5.123 alpha=90.00 beta=90.00 gamma=90.00
Fractional coordinates of all 2 atoms:
Be 0.000 0.000 0.000
Te 0.500 0.500 0.000

---

(12)
## BeTe (PBE-GGA)

Data for crystalline BeTe at its relaxed geometry.

Values from the calculation:
The calculation puts the energy relative to the elements, uncorrected at 26 kJ/mol of atoms. The space-group type is P4/nmm, No. 129. The offset from the most stable computed form comes out at 636 meV per atom. Its density of states at the Fermi level is 1.0 states/eV/cell.

Unit cell a=3.002 b=3.002 c=9.895 alpha=90.00 beta=90.00 gamma=90.00
Fractional coordinates of all 4 atoms:
Be 0.250 0.250 0.449
Be 0.750 0.750 0.551
Te 0.250 0.250 0.201
Te 0.750 0.750 0.799

---

(13)
## BeTe4 (PBE-GGA)

Data for crystalline BeTe4 at its relaxed geometry.

Values from the calculation:
The calculation puts the energy relative to the elements, uncorrected at 33 kJ/mol of atoms. The space-group type is Im-3m, No. 229. The offset from the most stable computed form comes out at 223 meV per atom. Its density of states at the Fermi level is 3.7 states/eV/cell.

Unit cell a=5.694 b=5.694 c=5.694 alpha=109.47 beta=109.47 gamma=109.47
Fractional coordinates of all 5 atoms:
Be 0.000 0.000 0.000
Te 0.500 0.000 0.000
Te 0.500 0.500 0.500
Te 0.000 0.500 0.000
Te 0.000 0.000 0.500

---

(14)
## BeTe (PBE-GGA)

Data for crystalline BeTe at its relaxed geometry.

Values from the calculation:
The calculation puts the energy relative to the elements, uncorrected at 37 kJ/mol of atoms. The space-group type is P-6m2, No. 187. The offset from the most stable computed form comes out at 753 meV per atom. Its density of states at the Fermi level is 0.9 states/eV/cell.

Unit cell a=3.710 b=3.710 c=3.393 alpha=90.00 beta=90.00 gamma=120.00
Fractional coordinates of all 2 atoms:
Be 0.000 0.000 0.000
Te 0.333 0.667 0.500

---

(15)
## BeTe (PBE-GGA)

Data for crystalline BeTe at its relaxed geometry.

Values from the calculation:
The calculation puts the energy relative to the elements, uncorrected at 9 kJ/mol of atoms. The space-group type is P4/nmm, No. 129. The offset from the most stable computed form comes out at 455 meV per atom. Its density of states at the Fermi level is 1.2 states/eV/cell.

Unit cell a=3.605 b=3.605 c=6.947 alpha=90.00 beta=90.00 gamma=90.00
Fractional coordinates of all 4 atoms:
Be 0.250 0.250 0.120
Be 0.750 0.750 0.880
Te 0.250 0.250 0.768
Te 0.750 0.750 0.232

---

(16)
## Be2Te3 (PBE-GGA)

Data for crystalline Be2Te3 at its relaxed geometry.

Values from the calculation:
The calculation puts the energy relative to the elements, uncorrected at 45 kJ/mol of atoms. The space-group type is P-3m1, No. 164. Its density of states at the Fermi level is 2.4 states/eV/cell.

Unit cell a=4.812 b=4.812 c=6.557 alpha=90.00 beta=90.00 gamma=120.00
Fractional coordinates of all 5 atoms:
Be 0.667 0.333 0.143
Be 0.333 0.667 0.857
Te 0.000 0.000 0.000
Te 0.667 0.333 0.762
Te 0.333 0.667 0.238

---

(17)
## Be3Te4 (PBE-GGA)

Data for crystalline Be3Te4 at its relaxed geometry.

Values from the calculation:
The calculation puts the energy relative to the elements, uncorrected at -14 kJ/mol of atoms. The space-group type is P-43m, No. 215. The offset from the most stable computed form comes out at 0 meV per atom. Its density of states at the Fermi level is 6.0 states/eV/cell.

Unit cell a=5.574 b=5.574 c=5.574 alpha=90.00 beta=90.00 gamma=90.00
Fractional coordinates of all 7 atoms:
Be 0.500 0.000 0.500
Be 0.500 0.500 0.000
Be 0.000 0.500 0.500
Te 0.246 0.754 0.246
Te 0.754 0.246 0.246
Te 0.754 0.754 0.754
Te 0.246 0.246 0.754

---

(18)
## BeTe (PBE-GGA)

Data for crystalline BeTe at its relaxed geometry.

Values from the calculation:
The calculation puts the energy relative to the elements, uncorrected at -21 kJ/mol of atoms. The space-group type is I4/m, No. 87. The offset from the most stable computed form comes out at 148 meV per atom. Its density of states at the Fermi level is 0.0 states/eV/cell.

Unit cell a=10.398 b=10.398 c=3.990 alpha=90.00 beta=90.00 gamma=90.00
Fractional coordinates of all 16 atoms:
Be 0.368 0.793 0.000
Be 0.632 0.207 0.000
Be 0.207 0.368 0.000
Be 0.793 0.632 0.000
Be 0.868 0.293 0.500
Be 0.132 0.707 0.500
Be 0.707 0.868 0.500
Be 0.293 0.132 0.500
Te 0.398 0.220 0.000
Te 0.602 0.780 0.000
Te 0.780 0.398 0.000
Te 0.220 0.602 0.000
Te 0.898 0.720 0.500
Te 0.102 0.280 0.500
Te 0.280 0.898 0.500
Te 0.720 0.102 0.500

---

(19)
## BeTe (PBE-GGA)

Data for crystalline BeTe at its relaxed geometry.

Values from the calculation:
The calculation puts the energy relative to the elements, uncorrected at -23 kJ/mol of atoms. The space-group type is P4/m, No. 83. The offset from the most stable computed form comes out at 130 meV per atom. Its density of states at the Fermi level is 0.0 states/eV/cell.

Unit cell a=10.642 b=10.642 c=3.993 alpha=90.00 beta=90.00 gamma=90.00
Fractional coordinates of all 16 atoms:
Be 0.783 0.634 0.500
Be 0.217 0.366 0.500
Be 0.366 0.783 0.500
Be 0.634 0.217 0.500
Be 0.895 0.441 0.000
Be 0.105 0.559 0.000
Be 0.559 0.895 0.000
Be 0.441 0.105 0.000
Te 0.769 0.403 0.500
Te 0.231 0.597 0.500
Te 0.597 0.769 0.500
Te 0.403 0.231 0.500
Te 0.910 0.683 0.000
Te 0.090 0.317 0.000
Te 0.317 0.910 0.000
Te 0.683 0.090 0.000

---

(20)
## Be3Te4 (PBE-GGA)

Data for crystalline Be3Te4 at its relaxed geometry.

Values from the calculation:
The calculation puts the energy relative to the elements, uncorrected at 26 kJ/mol of atoms. The space-group type is I4/mmm, No. 139. The offset from the most stable computed form comes out at 410 meV per atom. Its density of states at the Fermi level is 1.9 states/eV/cell.

Unit cell a=12.067 b=12.067 c=12.067 alpha=162.72 beta=162.72 gamma=24.53
Fractional coordinates of all 7 atoms:
Be 0.000 0.000 0.000
Be 0.711 0.711 0.000
Be 0.289 0.289 0.000
Te 0.816 0.816 0.000
Te 0.184 0.184 0.000
Te 0.559 0.559 0.000
Te 0.441 0.441 0.000

---

Number 1: final energy -8.35 eV/atom. Number 2: final energy -6.23 eV/atom. Number 3: final energy -6.47 eV/atom. Number 4: final energy -5.96 eV/atom. Number 5: final energy -8.12 eV/atom. Number 6: final energy -6.85 eV/atom. Number 7: final energy -3.55 eV/atom. Number 8: final energy -3.58 eV/atom. Number 9: final energy -3.60 eV/atom. Number 10: final energy -3.70 eV/atom. Number 11: final energy -3.03 eV/atom. Number 12: final energy -3.16 eV/atom. Number 13: final energy -2.92 eV/atom. Number 14: final energy -3.05 eV/atom. Number 15: final energy -3.34 eV/atom. Number 16: final energy -2.90 eV/atom. Number 17: final energy -3.53 eV/atom. Number 18: final energy -3.65 eV/atom. Number 19: final energy -3.67 eV/atom. Number 20: final energy -3.12 eV/atom.